[1]
The following is a DFT calculation (PBE) of a geometry-optimized Tb2NdEr4Sc structure.

Output
The symmetry is Imma. The value obtained for the formation energy is 3.51 eV/f.u.

Cell lengths 9.364, 9.364, 9.364 Å; angles 137.99, 103.42, 91.43 degrees
Atoms (fractional coordinates):
1 Tb 0.000 0.000 0.000
2 Tb 0.500 0.000 0.000
3 Tb 0.500 0.000 0.500
4 Tb 0.500 0.500 0.500
5 Nd 0.000 0.500 0.500
6 Nd 0.500 0.500 0.000
7 Er 0.237 0.250 0.988
8 Er 0.238 0.750 0.488
9 Er 0.239 0.239 0.499
10 Er 0.239 0.740 0.001
11 Er 0.761 0.260 0.999
12 Er 0.761 0.761 0.501
13 Er 0.762 0.250 0.512
14 Er 0.763 0.750 0.012
15 Sc 0.000 0.000 0.500
16 Sc 0.000 0.500 0.000

=====

[2]
The following is a DFT calculation (PBE) of a geometry-optimized ZrReW2 structure.

Output
The symmetry is Imm2. The value obtained for the formation energy is -0.03 eV/f.u.

Cell lengths 3.220, 4.600, 9.166 Å; angles 90.00, 90.00, 90.00 degrees
Atoms (fractional coordinates):
1 Zr 0.000 0.000 0.000
2 Zr 0.500 0.500 0.500
3 Re 0.000 0.500 0.756
4 Re 0.500 0.000 0.256
5 W 0.000 0.000 0.497
6 W 0.000 0.500 0.241
7 W 0.500 0.000 0.741
8 W 0.500 0.500 0.997

=====

[3]
The following is a DFT calculation (PBE) of a geometry-optimized LaDyPaN3 structure.

Output
The symmetry is P2_1/m. As for the total energy: -8.7563 eV per atom.

Cell lengths 6.090, 3.580, 9.286 Å; angles 90.00, 101.69, 90.00 degrees
Atoms (fractional coordinates):
1 La 0.156 0.250 0.199
2 La 0.844 0.750 0.801
3 Dy 0.264 0.750 0.540
4 Dy 0.736 0.250 0.460
5 Pa 0.359 0.250 0.847
6 Pa 0.641 0.750 0.153
7 N 0.050 0.250 0.665
8 N 0.277 0.750 0.995
9 N 0.465 0.750 0.344
10 N 0.535 0.250 0.656
11 N 0.723 0.250 0.005
12 N 0.950 0.750 0.335

=====

[4]
The following is a DFT calculation (PBE) of a geometry-optimized NbInIO2 structure.

Output
The symmetry is P4/mmm. As for the total energy: -5.8500 eV per atom.

Cell lengths 4.187, 4.187, 5.902 Å; angles 90.00, 90.00, 90.00 degrees
Atoms (fractional coordinates):
1 Nb 0.000 0.000 0.000
2 In 0.500 0.500 0.500
3 I 0.000 0.000 0.500
4 O 0.000 0.500 0.000
5 O 0.500 0.000 0.000